ZrRuBr: optimized geometry, PBE.

Calculated values
Magnetic moment = 0.35 μB per formula unit
E_form (uncorrected) = 394 meV/atom
Space group = No. 216

abc: 4.524 4.524 4.524
angles: 60.00 60.00 60.00
Last column: magnetic moment on the atom in μB.
Element x y z (fractional)
Zr 0.750 0.750 0.750  -0.05
Ru 0.500 0.500 0.500  0.36
Br 0.000 0.000 0.000  0.03

---

ZrRuBr: optimized geometry, PBE.

Calculated values
Magnetic moment = 0.00 μB per formula unit
E_form (uncorrected) = -289 meV/atom
Space group = No. 156

abc: 3.414 3.414 6.541
angles: 90.00 90.00 120.00
Element x y z (fractional)
Ru 0.667 0.333 0.390
Br 0.000 0.000 0.965
Zr 0.333 0.667 0.646

---

ZrRuBr2: optimized geometry, PBE.

Calculated values
Magnetic moment = 0.00 μB per formula unit
E_form (uncorrected) = 218 meV/atom
Space group = No. 47

abc: 3.206 5.571 4.470
angles: 90.00 90.00 90.00
Element x y z (fractional)
Ru 0.500 0.000 0.500
Zr 0.000 0.500 0.500
Br 0.500 0.500 0.000
Br 0.000 0.000 0.000

---

ZrRuBr2: optimized geometry, PBE.

Calculated values
Magnetic moment = 0.00 μB per formula unit
E_form (uncorrected) = 254 meV/atom
Space group = No. 119

abc: 5.416 5.416 5.416
angles: 135.40 135.40 64.92
Element x y z (fractional)
Br 0.000 0.000 0.000
Br 0.250 0.750 0.500
Zr 0.750 0.250 0.500
Ru 0.500 0.500 0.000

---

Zr2RuBr: optimized geometry, PBE.

Calculated values
Magnetic moment = 0.00 μB per formula unit
E_form (uncorrected) = -158 meV/atom
Space group = No. 12

abc: 4.963 4.963 3.230
angles: 82.11 82.11 97.64
Element x y z (fractional)
Zr 0.000 0.000 0.000
Zr 0.500 0.500 0.000
Br 0.500 0.000 0.500
Ru 0.000 0.500 0.500

---

ZrRuBr2: optimized geometry, PBE.

Calculated values
Magnetic moment = 0.00 μB per formula unit
E_form (uncorrected) = 413 meV/atom
Space group = No. 166

abc: 8.869 8.869 8.869
angles: 22.50 22.50 22.50
Element x y z (fractional)
Br 0.105 0.105 0.105
Br 0.895 0.895 0.895
Zr 0.000 0.000 0.000
Ru 0.500 0.500 0.500

---

ZrRuBr2: optimized geometry, PBE.

Calculated values
Magnetic moment = 0.00 μB per formula unit
E_form (uncorrected) = 497 meV/atom
Space group = No. 122

abc: 6.031 6.031 6.970
angles: 64.36 64.36 90.00
Element x y z (fractional)
Zr 0.500 0.500 0.000
Zr 0.250 0.750 0.500
Br 0.100 0.625 0.250
Br 0.875 0.900 0.750
Br 0.650 0.125 0.250
Br 0.375 0.350 0.750
Ru 0.750 0.250 0.500
Ru 0.000 0.000 0.000

---

ZrRuBr2: optimized geometry, PBE.

Calculated values
Magnetic moment = 0.00 μB per formula unit
E_form (uncorrected) = -339 meV/atom
Space group = No. 8

abc: 5.688 5.688 5.681
angles: 82.29 82.29 35.60
Element x y z (fractional)
Ru 0.605 0.605 0.411
Br 0.730 0.730 0.747
Br 0.946 0.946 0.175
Zr 0.219 0.219 0.167